Entry 1:
DFT (PBE) results for a relaxed structure of Ag3Sn2Pd8.

Unit cell a=5.2952 b=5.2952 c=29.6068 alpha=90.00 beta=90.00 gamma=120.00
Space group R-3m (No. 166, hexagonal axes)
Unique sites:
Ag (0.0000, 0.0000, 0.0000) [3 per cell]
Ag (0.0000, 0.0000, 0.1856) [6 per cell]
Sn (0.0000, 0.0000, 0.3653) [6 per cell]
Pd (0.0000, 0.0000, 0.2784) [6 per cell]
Pd (0.0024, 0.5012, 0.7714) [18 per cell]

Results
Energy of formation from the pure elements = -0.0283 eV/atom
DOS at the Fermi energy = 0.428 states/eV per atom



Entry 2:
DFT (PBE) results for a relaxed structure of Ag2Sn2Pd.

Unit cell a=3.7185 b=3.7185 c=15.8140 alpha=90.00 beta=90.00 gamma=90.00
Space group I4/mmm (No. 139)
Unique sites:
Ag (0.0000, 0.5000, 0.2500) [4 per cell]
Sn (0.0000, 0.0000, 0.0952) [4 per cell]
Pd (0.0000, 0.0000, 0.5000) [2 per cell]

Results
Energy of formation from the pure elements = 0.0640 eV/atom
DOS at the Fermi energy = 0.531 states/eV per atom
Offset from the most stable computed form = 0.078 eV/atom



Entry 3:
DFT (PBE) results for a relaxed structure of Ag2Sn2Pd7.

Unit cell a=8.7713 b=9.5656 c=5.0580 alpha=90.00 beta=114.45 gamma=90.00
Space group C2/m (No. 12)
Unique sites:
Ag (0.1049, 0.0000, 0.3320) [4 per cell]
Sn (0.0000, 0.3052, 0.0000) [4 per cell]
Pd (0.0000, 0.5000, 0.5000) [2 per cell]
Pd (0.1714, 0.2554, 0.6806) [8 per cell]
Pd (0.2391, 0.5000, 0.0562) [4 per cell]

Results
Energy of formation from the pure elements = -0.2284 eV/atom
DOS at the Fermi energy = 0.482 states/eV per atom



Number 1: magnetic moment 0.000 μB/atom. Number 2: magnetic moment 0.000 μB/atom. Number 3: magnetic moment 0.000 μB/atom.